DFT (GGA-PBE) results for TbCeSm2S6 after structural relaxation.

Calculated values
Energy relative to the elements, uncorrected in meV per atom: -2007
Symmetry: No. 146
DFT total energy in eV/cell: -64.83

Cell lengths 7.4772, 7.4772, 7.4772 Å; angles 56.60, 56.60, 56.60 degrees
Closest atoms and distances in Å follow each position.
Fractional coordinates of all 10 atoms:
Tb1 0.0000 0.0000 0.0000  6 S 2.75-2.80
Ce1 0.5031 0.5031 0.5031  6 S 2.81-2.89
Sm1 0.2981 0.2981 0.2981  6 S 2.77-2.86
Sm2 0.7956 0.7956 0.7956  6 S 2.79-2.86
S1 0.1019 0.3922 0.7040  1 Tb 2.75, 2 Sm 2.79-2.86, 1 Ce 2.89
S2 0.1903 0.9054 0.6044  2 Sm 2.77-2.86, 1 Tb 2.80, 1 Ce 2.81
S3 0.3922 0.7040 0.1019  1 Tb 2.75, 2 Sm 2.79-2.86, 1 Ce 2.89
S4 0.6044 0.1903 0.9054  2 Sm 2.77-2.86, 1 Tb 2.80, 1 Ce 2.81
S5 0.7040 0.1019 0.3922  1 Tb 2.75, 2 Sm 2.79-2.86, 1 Ce 2.89
S6 0.9054 0.6044 0.1903  2 Sm 2.77-2.86, 1 Tb 2.80, 1 Ce 2.81



DFT (GGA-PBE) results for TbCe3Sm4S8 after structural relaxation.

Calculated values
Energy relative to the elements, uncorrected in meV per atom: -2035
Symmetry: No. 166
DFT total energy in eV/cell: -106.89

Cell lengths 8.0058, 8.0058, 8.0058 Å; angles 60.04, 60.04, 60.04 degrees
Closest atoms and distances in Å follow each position.
Fractional coordinates of all 16 atoms:
Tb1 0.0000 0.0000 0.0000  6 S 2.80
Ce1 0.0000 0.5000 0.5000  6 S 2.84
Ce2 0.5000 0.0000 0.5000  6 S 2.84
Ce3 0.5000 0.5000 0.0000  6 S 2.84
Sm1 0.0000 0.0000 0.5000  6 S 2.82-2.83
Sm2 0.0000 0.5000 0.0000  6 S 2.82-2.83
Sm3 0.5000 0.0000 0.0000  6 S 2.82-2.83
Sm4 0.5000 0.5000 0.5000  6 S 2.86
S1 0.2475 0.2475 0.7534  1 Tb 2.80, 3 Sm 2.83-2.86, 2 Ce 2.84
S2 0.2475 0.7534 0.2475  1 Tb 2.80, 3 Sm 2.83-2.86, 2 Ce 2.84
S3 0.2466 0.7525 0.7525  1 Tb 2.80, 3 Sm 2.83-2.86, 2 Ce 2.84
S4 0.2493 0.2493 0.2493  3 Sm 2.82, 3 Ce 2.84
S5 0.7507 0.7507 0.7507  3 Sm 2.82, 3 Ce 2.84
S6 0.7534 0.2475 0.2475  1 Tb 2.80, 3 Sm 2.83-2.86, 2 Ce 2.84
S7 0.7525 0.2466 0.7525  1 Tb 2.80, 3 Sm 2.83-2.86, 2 Ce 2.84
S8 0.7525 0.7525 0.2466  1 Tb 2.80, 3 Sm 2.83-2.86, 2 Ce 2.84



DFT (GGA-PBE) results for Tb4Ce3SmS8 after structural relaxation.

Calculated values
Energy relative to the elements, uncorrected in meV per atom: -2034
Symmetry: No. 166
DFT total energy in eV/cell: -106.60

Cell lengths 7.9657, 7.9657, 7.9657 Å; angles 59.68, 59.68, 59.68 degrees
Closest atoms and distances in Å follow each position.
Fractional coordinates of all 16 atoms:
Tb1 0.0000 0.0000 0.0000  6 S 2.78
Tb2 0.0000 0.5000 0.5000  6 S 2.77-2.78
Tb3 0.5000 0.0000 0.5000  6 S 2.77-2.78
Tb4 0.5000 0.5000 0.0000  6 S 2.77-2.78
Ce1 0.0000 0.0000 0.5000  6 S 2.84-2.85
Ce2 0.0000 0.5000 0.0000  6 S 2.84-2.85
Ce3 0.5000 0.0000 0.0000  6 S 2.84-2.85
Sm1 0.5000 0.5000 0.5000  6 S 2.84
S1 0.2475 0.2475 0.7465  3 Tb 2.78, 1 Sm 2.84, 2 Ce 2.84
S2 0.2475 0.7465 0.2475  3 Tb 2.78, 1 Sm 2.84, 2 Ce 2.84
S3 0.2532 0.2532 0.2532  3 Tb 2.77, 3 Ce 2.85
S4 0.2535 0.7525 0.7525  3 Tb 2.78, 1 Sm 2.84, 2 Ce 2.84
S5 0.7465 0.2475 0.2475  3 Tb 2.78, 1 Sm 2.84, 2 Ce 2.84
S6 0.7468 0.7468 0.7468  3 Tb 2.77, 3 Ce 2.85
S7 0.7525 0.2535 0.7525  3 Tb 2.78, 1 Sm 2.84, 2 Ce 2.84
S8 0.7525 0.7525 0.2535  3 Tb 2.78, 1 Sm 2.84, 2 Ce 2.84



DFT (GGA-PBE) results for Tb2CeSm3S6 after structural relaxation.

Calculated values
Energy relative to the elements, uncorrected in meV per atom: -2028
Symmetry: No. 12
DFT total energy in eV/cell: -78.45

Cell lengths 6.9023, 6.9023, 6.9044 Å; angles 99.63, 99.63, 120.12 degrees
Closest atoms and distances in Å follow each position.
Fractional coordinates of all 12 atoms:
Tb1 0.1671 0.8329 0.0000  6 S 2.78-2.79
Tb2 0.8329 0.1671 0.0000  6 S 2.78-2.79
Ce1 0.5000 0.5000 0.0000  6 S 2.82
Sm1 0.0000 0.0000 0.5000  6 S 2.81-2.84
Sm2 0.3333 0.6667 0.5000  6 S 2.81-2.85
Sm3 0.6667 0.3333 0.5000  6 S 2.81-2.85
S1 0.0809 0.4181 0.7547  2 Tb 2.78-2.79, 3 Sm 2.81-2.85, 1 Ce 2.82
S2 0.2440 0.2440 0.2449  2 Tb 2.79, 3 Sm 2.81-2.85, 1 Ce 2.82
S3 0.4181 0.0809 0.7547  2 Tb 2.78-2.79, 3 Sm 2.81-2.85, 1 Ce 2.82
S4 0.5819 0.9191 0.2453  2 Tb 2.78-2.79, 3 Sm 2.81-2.85, 1 Ce 2.82
S5 0.7560 0.7560 0.7551  2 Tb 2.79, 3 Sm 2.81-2.85, 1 Ce 2.82
S6 0.9191 0.5819 0.2453  2 Tb 2.78-2.79, 3 Sm 2.81-2.85, 1 Ce 2.82



DFT (GGA-PBE) results for TbCe3Sm3S8 after structural relaxation.

Calculated values
Energy relative to the elements, uncorrected in meV per atom: -2052
Symmetry: No. 166
DFT total energy in eV/cell: -100.39

Cell lengths 8.0429, 8.0429, 8.0429 Å; angles 59.68, 59.68, 59.68 degrees
Closest atoms and distances in Å follow each position.
Fractional coordinates of all 15 atoms:
Tb1 0.0000 0.0000 0.0000  6 S 2.79
Ce1 0.0000 0.0000 0.5000  6 S 2.85
Ce2 0.0000 0.5000 0.0000  6 S 2.85
Ce3 0.5000 0.0000 0.0000  6 S 2.85
Sm1 0.0000 0.5000 0.5000  6 S 2.83
Sm2 0.5000 0.0000 0.5000  6 S 2.83
Sm3 0.5000 0.5000 0.0000  6 S 2.83
S1 0.2458 0.2458 0.7527  1 Tb 2.79, 2 Sm 2.83, 2 Ce 2.85
S2 0.2458 0.7527 0.2458  1 Tb 2.79, 2 Sm 2.83, 2 Ce 2.85
S3 0.2473 0.7542 0.7542  1 Tb 2.79, 2 Sm 2.83, 2 Ce 2.85
S4 0.2509 0.2509 0.2509  3 Sm 2.83, 3 Ce 2.85
S5 0.7491 0.7491 0.7491  3 Sm 2.83, 3 Ce 2.85
S6 0.7527 0.2458 0.2458  1 Tb 2.79, 2 Sm 2.83, 2 Ce 2.85
S7 0.7542 0.2473 0.7542  1 Tb 2.79, 2 Sm 2.83, 2 Ce 2.85
S8 0.7542 0.7542 0.2473  1 Tb 2.79, 2 Sm 2.83, 2 Ce 2.85



DFT (GGA-PBE) results for Tb3CeSm2S6 after structural relaxation.

Calculated values
Energy relative to the elements, uncorrected in meV per atom: -2025
Symmetry: No. 12
DFT total energy in eV/cell: -78.32

Cell lengths 8.8846, 8.8846, 7.9829 Å; angles 103.23, 103.23, 25.72 degrees
Closest atoms and distances in Å follow each position.
Fractional coordinates of all 12 atoms:
Tb1 0.0000 0.0000 0.0000  6 S 2.77-2.79
Tb2 0.3335 0.3335 0.6652  6 S 2.77-2.79
Tb3 0.6665 0.6665 0.3348  6 S 2.77-2.79
Ce1 0.0000 0.0000 0.5000  6 S 2.85
Sm1 0.3343 0.3343 0.1691  6 S 2.82-2.85
Sm2 0.6657 0.6657 0.8309  6 S 2.82-2.85
S1 0.1656 0.1656 0.0877  3 Tb 2.79, 3 Sm 2.84-2.85
S2 0.1691 0.1691 0.5794  3 Tb 2.77, 2 Sm 2.83, 1 Ce 2.85
S3 0.4981 0.4981 0.7559  3 Tb 2.77, 1 Sm 2.82, 2 Ce 2.85
S4 0.5019 0.5019 0.2441  3 Tb 2.77, 1 Sm 2.82, 2 Ce 2.85
S5 0.8309 0.8309 0.4206  3 Tb 2.77, 2 Sm 2.83, 1 Ce 2.85
S6 0.8344 0.8344 0.9123  3 Tb 2.79, 3 Sm 2.84-2.85



DFT (GGA-PBE) results for CeSmTh2S4 after structural relaxation.

Calculated values
Energy relative to the elements, uncorrected in meV per atom: -1941
Symmetry: No. 10
DFT total energy in eV/cell: -57.53

Cell lengths 6.9264, 4.0323, 7.0037 Å; angles 90.00, 109.41, 90.00 degrees
Closest atoms and distances in Å follow each position.
Fractional coordinates of all 8 atoms:
Ce1 0.0000 0.0000 0.0000  6 S 2.83-2.84
Sm1 0.5000 0.5000 0.0000  6 S 2.82-2.83
Th1 0.0000 0.5000 0.5000  6 S 2.87
Th2 0.5000 0.0000 0.5000  6 S 2.86
S1 0.2497 0.5000 0.2458  1 Sm 2.82, 2 Ce 2.84, 3 Th 2.86-2.87
S2 0.2525 0.0000 0.7548  2 Sm 2.83, 1 Ce 2.83, 3 Th 2.86-2.87
S3 0.7475 0.0000 0.2452  2 Sm 2.83, 1 Ce 2.83, 3 Th 2.86-2.87
S4 0.7503 0.5000 0.7542  1 Sm 2.82, 2 Ce 2.84, 3 Th 2.86-2.87



DFT (GGA-PBE) results for CeSm4Th3S8 after structural relaxation.

Calculated values
Energy relative to the elements, uncorrected in meV per atom: -1956
Symmetry: No. 166
DFT total energy in eV/cell: -111.39

Cell lengths 8.0999, 8.0999, 8.0999 Å; angles 59.06, 59.06, 59.06 degrees
Closest atoms and distances in Å follow each position.
Fractional coordinates of all 16 atoms:
Ce1 0.0000 0.0000 0.0000  6 S 2.86
Sm1 0.0000 0.0000 0.5000  6 S 2.82
Sm2 0.0000 0.5000 0.0000  6 S 2.82
Sm3 0.5000 0.0000 0.0000  6 S 2.82
Sm4 0.5000 0.5000 0.5000  6 S 2.83
Th1 0.0000 0.5000 0.5000  6 S 2.86-2.87
Th2 0.5000 0.0000 0.5000  6 S 2.86-2.87
Th3 0.5000 0.5000 0.0000  6 S 2.86-2.87
S1 0.2480 0.2480 0.2480  3 Sm 2.82, 3 Th 2.87
S2 0.2477 0.7490 0.7490  3 Sm 2.82-2.83, 1 Ce 2.86, 2 Th 2.86
S3 0.2510 0.2510 0.7523  3 Sm 2.82-2.83, 1 Ce 2.86, 2 Th 2.86
S4 0.2510 0.7523 0.2510  3 Sm 2.82-2.83, 1 Ce 2.86, 2 Th 2.86
S5 0.7490 0.2477 0.7490  3 Sm 2.82-2.83, 1 Ce 2.86, 2 Th 2.86
S6 0.7490 0.7490 0.2477  3 Sm 2.82-2.83, 1 Ce 2.86, 2 Th 2.86
S7 0.7523 0.2510 0.2510  3 Sm 2.82-2.83, 1 Ce 2.86, 2 Th 2.86
S8 0.7520 0.7520 0.7520  3 Sm 2.82, 3 Th 2.87



DFT (GGA-PBE) results for Ce4Sm3ThS8 after structural relaxation.

Calculated values
Energy relative to the elements, uncorrected in meV per atom: -2017
Symmetry: No. 166
DFT total energy in eV/cell: -110.60

Cell lengths 8.0374, 8.0374, 8.0374 Å; angles 60.04, 60.04, 60.04 degrees
Closest atoms and distances in Å follow each position.
Fractional coordinates of all 16 atoms:
Ce1 0.0000 0.0000 0.0000  6 S 2.83
Ce2 0.0000 0.5000 0.5000  6 S 2.85
Ce3 0.5000 0.0000 0.5000  6 S 2.85
Ce4 0.5000 0.5000 0.0000  6 S 2.85
Sm1 0.0000 0.0000 0.5000  6 S 2.83-2.84
Sm2 0.0000 0.5000 0.0000  6 S 2.83-2.84
Sm3 0.5000 0.0000 0.0000  6 S 2.83-2.84
Th1 0.5000 0.5000 0.5000  6 S 2.85
S1 0.2474 0.7507 0.7507  2 Sm 2.83, 3 Ce 2.83-2.85, 1 Th 2.85
S2 0.2494 0.2494 0.2494  3 Sm 2.84, 3 Ce 2.85
S3 0.2493 0.2493 0.7526  2 Sm 2.83, 3 Ce 2.83-2.85, 1 Th 2.85
S4 0.2493 0.7526 0.2493  2 Sm 2.83, 3 Ce 2.83-2.85, 1 Th 2.85
S5 0.7507 0.2474 0.7507  2 Sm 2.83, 3 Ce 2.83-2.85, 1 Th 2.85
S6 0.7507 0.7507 0.2474  2 Sm 2.83, 3 Ce 2.83-2.85, 1 Th 2.85
S7 0.7506 0.7506 0.7506  3 Sm 2.84, 3 Ce 2.85
S8 0.7526 0.2493 0.2493  2 Sm 2.83, 3 Ce 2.83-2.85, 1 Th 2.85



DFT (GGA-PBE) results for Ce3SmTh2S6 after structural relaxation.

Calculated values
Energy relative to the elements, uncorrected in meV per atom: -1978
Symmetry: No. 12
DFT total energy in eV/cell: -85.86

Cell lengths 6.9815, 6.9815, 6.9489 Å; angles 99.63, 99.63, 119.94 degrees
Closest atoms and distances in Å follow each position.
Fractional coordinates of all 12 atoms:
Ce1 0.0000 0.0000 0.0000  6 S 2.84-2.85
Ce2 0.3334 0.6666 0.0000  6 S 2.84-2.86
Ce3 0.6666 0.3334 0.0000  6 S 2.84-2.86
Sm1 0.5000 0.5000 0.5000  6 S 2.84
Th1 0.1666 0.8334 0.5000  6 S 2.85-2.86
Th2 0.8334 0.1666 0.5000  6 S 2.85-2.86
S1 0.0853 0.4166 0.2495  1 Sm 2.84, 3 Ce 2.84-2.86, 2 Th 2.85
S2 0.2526 0.2526 0.7512  3 Ce 2.84-2.85, 1 Sm 2.84, 2 Th 2.86
S3 0.4166 0.0853 0.2495  1 Sm 2.84, 3 Ce 2.84-2.86, 2 Th 2.85
S4 0.5834 0.9147 0.7505  1 Sm 2.84, 3 Ce 2.84-2.86, 2 Th 2.85
S5 0.7474 0.7474 0.2488  3 Ce 2.84-2.85, 1 Sm 2.84, 2 Th 2.86
S6 0.9147 0.5834 0.7505  1 Sm 2.84, 3 Ce 2.84-2.86, 2 Th 2.85



Question: Look up the DFT total energy of the third one.
Answer: -106.60 eV/cell